(i)
This record from the Alexandria database describes crystalline ZrPCl2 at its relaxed geometry. The functional is PBEsol.

Results
Fermi-level density of states: 0.6107 states/eV/atom
calculated density: 3.4 g cm⁻³

a b c (Å): 3.2119 4.2496 7.4078
angles (deg): 106.67 102.52 90.00
Sites, in units of the cell vectors:
Cl  0.6530  0.6530  0.3059
Cl  0.3470  0.3470  0.6941
P  0.5000  0.0000  0.0000
Zr  0.0000  0.5000  0.0000

---

(ii)
This record from the Alexandria database describes crystalline ZrPCl2 at its relaxed geometry. The functional is PBEsol.

Results
Fermi-level density of states: 0.5110 states/eV/atom
calculated density: 4.6 g cm⁻³

a b c (Å): 3.0977 4.4329 5.0323
angles (deg): 90.00 90.00 90.00
Sites, in units of the cell vectors:
Cl  0.0000  0.0000  0.0000
Cl  0.5000  0.0000  0.5000
P  0.5000  0.5000  0.0000
Zr  0.0000  0.5000  0.5000

---

Which of them is least stable? Easy: (ii).